i) Compound: AcTb2Ga
Source: Alexandria via LeMat-Bulk
Functional: PBE
Structure: optimized geometry

* M_tot: 0.000 μB/atom
* symmetry: Fm-3m, No. 225
* volume: 468.4 Å³ per cell

extended XYZ file:
```
16
Lattice="7.766 0.000 0.000 0.000 7.766 0.000 0.000 0.000 7.766" Properties=species:S:1:pos:R:3 pbc="T T T"
Ac 0.000 0.000 0.000
Ac 0.000 3.883 3.883
Ac 3.883 0.000 3.883
Ac 3.883 3.883 0.000
Tb 1.942 1.942 1.942
Tb 1.942 1.942 5.825
Tb 1.942 5.825 1.942
Tb 1.942 5.825 5.825
Tb 5.825 1.942 1.942
Tb 5.825 1.942 5.825
Tb 5.825 5.825 1.942
Tb 5.825 5.825 5.825
Ga 0.000 0.000 3.883
Ga 0.000 3.883 0.000
Ga 3.883 0.000 0.000
Ga 3.883 3.883 3.883
```


ii) Compound: AcTb2Ga
Source: Alexandria via LeMat-Bulk
Functional: PBE
Structure: optimized geometry

* M_tot: 0.000 μB/atom
* symmetry: R3m, No. 160
* volume: 393.8 Å³ per cell

extended XYZ file:
```
12
Lattice="4.979 0.000 0.000 -2.490 4.312 0.000 0.000 0.000 18.343" Properties=species:S:1:pos:R:3 pbc="T T T"
Ac 0.000 0.000 0.000
Ac 0.000 2.875 12.229
Ac 2.490 1.437 6.114
Tb 0.000 0.000 10.130
Tb 0.000 0.000 14.423
Tb 0.000 2.875 4.016
Tb 0.000 2.875 8.309
Tb 2.490 1.437 2.194
Tb 2.490 1.437 16.244
Ga 0.000 0.000 3.489
Ga 0.000 2.875 15.718
Ga 2.490 1.437 9.604
```


iii) Compound: AcTb2Ga
Source: Alexandria via LeMat-Bulk
Functional: PBE
Structure: optimized geometry

* M_tot: 0.000 μB/atom
* symmetry: R-3m, No. 166
* volume: 394.9 Å³ per cell

extended XYZ file:
```
12
Lattice="3.639 0.000 0.000 -1.820 3.152 0.000 0.000 0.000 34.427" Properties=species:S:1:pos:R:3 pbc="T T T"
Ac 0.000 0.000 0.000
Ac 0.000 2.101 22.951
Ac 1.820 1.051 11.476
Tb 0.000 0.000 3.630
Tb 0.000 0.000 30.797
Tb 0.000 2.101 19.322
Tb 0.000 2.101 26.581
Tb 1.820 1.051 7.846
Tb 1.820 1.051 15.105
Ga 0.000 0.000 17.213
Ga 0.000 2.101 5.738
Ga 1.820 1.051 28.689
```


Which structure wins on stability? ii) wins.


i) Compound: Ac2TbGa2
Source: Alexandria via LeMat-Bulk
Functional: PBE
Structure: optimized geometry

* M_tot: 0.000 μB/atom
* symmetry: Immm, No. 71
* volume: 314.2 Å³ per cell

extended XYZ file:
```
10
Lattice="4.730 0.000 0.000 0.000 6.776 0.000 0.000 0.000 9.804" Properties=species:S:1:pos:R:3 pbc="T T T"
Ac 0.000 0.000 1.958
Ac 0.000 0.000 7.846
Ac 2.365 3.388 2.944
Ac 2.365 3.388 6.860
Tb 0.000 3.388 0.000
Tb 2.365 0.000 4.902
Ga 0.000 1.962 4.902
Ga 0.000 4.815 4.902
Ga 2.365 1.426 0.000
Ga 2.365 5.350 0.000
```


ii) Compound: Ac2TbGa2
Source: Alexandria via LeMat-Bulk
Functional: PBE
Structure: optimized geometry

* M_tot: 0.000 μB/atom
* symmetry: C2/m, No. 12
* volume: 311.4 Å³ per cell

extended XYZ file:
```
10
Lattice="6.325 -2.437 0.000 6.325 2.437 0.000 -5.807 0.000 10.102" Properties=species:S:1:pos:R:3 pbc="T T T"
Ac -0.831 0.000 1.841
Ac -1.114 0.000 6.052
Ac 7.957 0.000 4.050
Ac 7.673 0.000 8.261
Tb 2.835 0.000 1.352
Tb 4.007 0.000 8.751
Ga -0.692 0.000 9.431
Ga 2.561 0.000 6.071
Ga 4.281 0.000 4.032
Ga 7.534 0.000 0.671
```


Which structure wins on stability? ii) wins.


i) Compound: AcTbGa
Source: Alexandria via LeMat-Bulk
Functional: PBE
Structure: optimized geometry

* M_tot: 0.000 μB/atom
* symmetry: F-43m, No. 216
* volume: 400.8 Å³ per cell

extended XYZ file:
```
12
Lattice="7.373 0.000 0.000 0.000 7.373 0.000 0.000 0.000 7.373" Properties=species:S:1:pos:R:3 pbc="T T T"
Ac 0.000 0.000 0.000
Ac 0.000 3.686 3.686
Ac 3.686 0.000 3.686
Ac 3.686 3.686 0.000
Tb 0.000 0.000 3.686
Tb 0.000 3.686 0.000
Tb 3.686 0.000 0.000
Tb 3.686 3.686 3.686
Ga 1.843 1.843 5.530
Ga 1.843 5.530 1.843
Ga 5.530 1.843 1.843
Ga 5.530 5.530 5.530
```


ii) Compound: AcTbGa
Source: Alexandria via LeMat-Bulk
Functional: PBE
Structure: optimized geometry

* M_tot: 0.104 μB/atom
* symmetry: P4/nmm, No. 129
* volume: 187.2 Å³ per cell

extended XYZ file:
```
6
Lattice="4.825 0.000 0.000 0.000 4.825 0.000 0.000 0.000 8.039" Properties=species:S:1:pos:R:3 pbc="T T T"
Ac 1.206 1.206 1.130
Ac 3.619 3.619 6.909
Tb 1.206 3.619 4.020
Tb 3.619 1.206 4.020
Ga 1.206 1.206 5.922
Ga 3.619 3.619 2.117
```


iii) Compound: AcTbGa
Source: Alexandria via LeMat-Bulk
Functional: PBE
Structure: optimized geometry

* M_tot: 0.000 μB/atom
* symmetry: I4/mmm, No. 139
* volume: 393.8 Å³ per cell

extended XYZ file:
```
12
Lattice="-5.778 5.778 2.949 5.778 -5.778 2.949 5.778 5.778 -2.949" Properties=species:S:1:pos:R:3 pbc="T T T"
Ac 2.814 0.000 0.000
Ac 8.742 0.000 0.000
Ac 0.000 2.814 0.000
Ac 0.000 8.742 0.000
Tb 3.615 3.615 0.000
Tb 2.163 -2.163 2.949
Tb -2.163 2.163 2.949
Tb 2.163 2.163 2.949
Ga 5.778 1.337 0.000
Ga 1.337 5.778 0.000
Ga 4.441 0.000 2.949
Ga 0.000 4.441 2.949
```


Which structure wins on stability? ii) wins.


i) Compound: AcTbGa
Source: Alexandria via LeMat-Bulk
Functional: PBE
Structure: optimized geometry

* M_tot: 0.000 μB/atom
* symmetry: I4mm, No. 107
* volume: 185.9 Å³ per cell

extended XYZ file:
```
6
Lattice="3.724 0.000 0.000 0.000 3.724 0.000 0.000 0.000 13.409" Properties=species:S:1:pos:R:3 pbc="T T T"
Ac 0.000 0.000 0.000
Ac 1.862 1.862 6.705
Tb 0.000 0.000 3.809
Tb 1.862 1.862 10.513
Ga 0.000 0.000 8.898
Ga 1.862 1.862 2.194
```


ii) Compound: AcTbGa
Source: Alexandria via LeMat-Bulk
Functional: PBE
Structure: optimized geometry

* M_tot: 0.000 μB/atom
* symmetry: P-6m2, No. 187
* volume: 96.2 Å³ per cell

extended XYZ file:
```
3
Lattice="4.989 0.000 0.000 -2.494 4.320 0.000 0.000 0.000 4.464" Properties=species:S:1:pos:R:3 pbc="T T T"
Ac 0.000 0.000 0.000
Tb 2.494 1.440 2.232
Ga 0.000 2.880 2.232
```


Which structure wins on stability? i) wins.


i) Compound: AcGa2Tc
Source: Alexandria via LeMat-Bulk
Functional: PBE
Structure: optimized geometry

* M_tot: 0.000 μB/atom
* symmetry: P4/mmm, No. 123
* volume: 82.2 Å³ per cell

extended XYZ file:
```
4
Lattice="3.389 0.000 0.000 0.000 3.389 0.000 0.000 0.000 7.159" Properties=species:S:1:pos:R:3 pbc="T T T"
Ac 0.000 0.000 0.000
Ga 1.694 1.694 2.299
Ga 1.694 1.694 4.860
Tc 0.000 0.000 3.579
```


ii) Compound: AcGa2Tc
Source: Alexandria via LeMat-Bulk
Functional: PBE
Structure: optimized geometry

* M_tot: 0.000 μB/atom
* symmetry: R-3m, No. 166
* volume: 274.5 Å³ per cell

extended XYZ file:
```
12
Lattice="4.364 0.000 0.000 -2.182 3.779 0.000 0.000 0.000 16.642" Properties=species:S:1:pos:R:3 pbc="T T T"
Ac 0.000 0.000 0.000
Ac 0.000 2.519 11.095
Ac 2.182 1.260 5.547
Ga 0.000 0.000 3.415
Ga 0.000 0.000 13.227
Ga 0.000 2.519 7.680
Ga 0.000 2.519 14.510
Ga 2.182 1.260 2.132
Ga 2.182 1.260 8.963
Tc 0.000 0.000 8.321
Tc 0.000 2.519 2.774
Tc 2.182 1.260 13.868
```


Which structure wins on stability? ii) wins.


i) Compound: Ac2GaTe
Source: Alexandria via LeMat-Bulk
Functional: PBE
Structure: optimized geometry

* M_tot: 0.000 μB/atom
* symmetry: Pbcm, No. 57
* volume: 597.8 Å³ per cell

extended XYZ file:
```
16
Lattice="9.402 0.000 0.000 0.000 7.714 0.000 0.000 0.000 8.243" Properties=species:S:1:pos:R:3 pbc="T T T"
Ac 1.144 1.928 0.000
Ac 1.144 1.928 4.121
Ac 3.223 5.785 0.000
Ac 3.223 5.785 4.121
Ac 6.180 1.928 0.000
Ac 6.180 1.928 4.121
Ac 8.259 5.785 0.000
Ac 8.259 5.785 4.121
Ga 1.046 4.456 2.061
Ga 1.046 7.115 6.182
Ga 8.356 0.599 2.061
Ga 8.356 3.258 6.182
Te 3.689 0.750 2.061
Te 3.689 3.107 6.182
Te 5.713 4.607 2.061
Te 5.713 6.964 6.182
```


ii) Compound: Ac2GaTe
Source: Alexandria via LeMat-Bulk
Functional: PBE
Structure: optimized geometry

* M_tot: 0.000 μB/atom
* symmetry: R-3m, No. 166
* volume: 441.6 Å³ per cell

extended XYZ file:
```
12
Lattice="4.545 0.000 0.000 -2.272 3.936 0.000 0.000 0.000 24.688" Properties=species:S:1:pos:R:3 pbc="T T T"
Ac 0.000 0.000 6.075
Ac 0.000 0.000 18.613
Ac 0.000 2.624 10.384
Ac 0.000 2.624 22.534
Ac 2.272 1.312 2.154
Ac 2.272 1.312 14.304
Ga 0.000 0.000 12.344
Ga 0.000 2.624 4.115
Ga 2.272 1.312 20.573
Te 0.000 0.000 0.000
Te 0.000 2.624 16.459
Te 2.272 1.312 8.229
```


Which structure wins on stability? ii) wins.